First-principles (PBE) data for crystalline KGa4Pt2 at its relaxed geometry, as listed in the Alexandria database.

Properties
ΔE to the lowest computed polymorph: 0.063 eV per atom
Formation energy: -35.7 kJ per mole of atoms
Mass density: 8.826 Mg/m³
M_tot: 0.00 μB per formula unit

a b c (Å): 7.9574 7.9574 8.4169
angles (deg): 90.00 90.00 90.00
Space group I-42d (No. 122)
Asymmetric unit:
1 K 0.0000 0.0000 0.0000 x4
2 Ga 0.0856 0.1435 0.3494 x16
3 Pt 0.1902 0.2500 0.6250 x8